(1)
{
  "formula": "Sr2CeErS4",
  "functional": "PBE-GGA",
  "state": "optimized geometry",
  "volume_a3_per_cell": 195.7,
  "m_tot_mub_per_fu": 1.4,
  "dft_energy_ev_per_cell": -46.43,
  "e_form_raw_ev_per_atom": -2.007,
  "lattice_angstrom": [[-0.248, -3.825, -1.363], [3.416, -2.271, 5.749], [-7.080, -0.014, 1.327]],
  "species": ["Sr", "Sr", "Ce", "Er", "S", "S", "S", "S"],
  "frac_coords": [[0.500, 0.000, 0.500], [0.000, 0.500, 0.500], [0.500, 0.500, 0.000], [0.000, 0.000, 0.000], [0.500, 0.235, 0.229], [0.500, 0.765, 0.771], [0.000, 0.246, 0.765], [0.000, 0.754, 0.235]]
}



(2)
{
  "formula": "NaPaAlS4",
  "functional": "PBE-GGA",
  "state": "optimized geometry",
  "volume_a3_per_cell": 334.5,
  "m_tot_mub_per_fu": 1.0,
  "dft_energy_ev_per_cell": -79.83,
  "e_form_raw_ev_per_atom": -1.264,
  "lattice_angstrom": [[-2.641, 0.765, 6.803], [-5.046, -1.707, -5.724], [5.443, -5.506, 2.732]],
  "species": ["Na", "Na", "Pa", "Pa", "Al", "Al", "S", "S", "S", "S", "S", "S", "S", "S"],
  "frac_coords": [[0.849, 0.698, 0.099], [0.151, 0.302, 0.901], [0.500, 0.000, 0.500], [0.500, 0.000, 0.000], [0.500, 0.500, 0.500], [0.000, 0.500, 0.500], [0.745, 0.491, 0.695], [0.280, 0.043, 0.271], [0.762, 0.043, 0.271], [0.745, 0.491, 0.296], [0.255, 0.509, 0.704], [0.720, 0.957, 0.729], [0.238, 0.957, 0.729], [0.255, 0.509, 0.305]]
}



(3)
{
  "formula": "KBa2Zr",
  "functional": "PBE-GGA",
  "state": "optimized geometry",
  "volume_a3_per_cell": 378.4,
  "de_polymorph_ev_per_atom": 0.420,
  "m_tot_mub_per_fu": 1.3,
  "dft_energy_ev_per_cell": -19.97,
  "lattice_angstrom": [[-3.480, 9.161, -0.660], [-8.573, -2.987, 3.748], [-4.710, 3.847, 5.161]],
  "species": ["K", "K", "Ba", "Ba", "Ba", "Ba", "Zr", "Zr"],
  "frac_coords": [[0.500, 0.500, 0.000], [0.250, 0.750, 0.500], [0.645, 0.125, 0.250], [0.105, 0.625, 0.250], [0.375, 0.355, 0.750], [0.875, 0.895, 0.750], [0.000, 0.000, 0.000], [0.750, 0.250, 0.500]]
}



(4)
{
  "formula": "La2OsAu",
  "functional": "PBE-GGA",
  "state": "optimized geometry",
  "volume_a3_per_cell": 99.1,
  "m_tot_mub_per_fu": 0.0,
  "dft_energy_ev_per_cell": -25.10,
  "lattice_angstrom": [[-0.644, -0.330, -6.388], [-5.053, -2.674, -2.941], [2.186, 4.414, 4.131]],
  "species": ["Au", "La", "La", "Os"],
  "frac_coords": [[0.296, 0.796, 0.500], [0.009, 0.009, 0.000], [0.705, 0.205, 0.500], [0.490, 0.490, 0.000]]
}



(5)
{
  "formula": "NpCo2Ge3",
  "functional": "PBE-GGA",
  "state": "optimized geometry",
  "volume_a3_per_cell": 286.5,
  "de_polymorph_ev_per_atom": 0.000,
  "m_tot_mub_per_fu": 3.7,
  "dft_energy_ev_per_cell": -126.45,
  "lattice_angstrom": [[3.927, 0.000, 0.000], [-1.964, 7.525, -2.175], [0.001, 0.390, 9.583]],
  "species": ["Np", "Np", "Np", "Co", "Co", "Co", "Co", "Co", "Co", "Ge", "Ge", "Ge", "Ge", "Ge", "Ge", "Ge", "Ge", "Ge"],
  "frac_coords": [[0.149, 0.298, 0.687], [0.851, 0.702, 0.313], [0.000, 0.000, 0.000], [0.204, 0.407, 0.073], [0.796, 0.593, 0.927], [0.501, 0.003, 0.213], [0.499, 0.997, 0.787], [0.359, 0.719, 0.569], [0.641, 0.281, 0.431], [0.048, 0.096, 0.343], [0.952, 0.904, 0.657], [0.227, 0.455, 0.383], [0.773, 0.545, 0.617], [0.648, 0.296, 0.180], [0.352, 0.704, 0.820], [0.500, 0.000, 0.500], [0.355, 0.710, 0.084], [0.645, 0.290, 0.916]]
}



(6)
{
  "formula": "Nd8SmHo6",
  "functional": "PBE-GGA",
  "state": "optimized geometry",
  "volume_a3_per_cell": 509.4,
  "de_polymorph_ev_per_atom": 0.022,
  "m_tot_mub_per_fu": 0.0,
  "dft_energy_ev_per_cell": -67.63,
  "lattice_angstrom": [[-6.119, -2.287, -0.403], [3.339, -8.863, -0.415], [-2.017, 3.918, 8.394]],
  "species": ["Nd", "Nd", "Nd", "Nd", "Nd", "Nd", "Nd", "Nd", "Sm", "Ho", "Ho", "Ho", "Ho", "Ho", "Ho"],
  "frac_coords": [[0.830, 0.039, 0.287], [0.830, 0.713, 0.752], [0.830, 0.248, 0.961], [0.170, 0.961, 0.713], [0.170, 0.287, 0.248], [0.170, 0.752, 0.039], [0.875, 0.333, 0.667], [0.125, 0.667, 0.333], [0.500, 0.000, 0.000], [0.662, 0.654, 0.096], [0.662, 0.904, 0.558], [0.662, 0.442, 0.346], [0.338, 0.346, 0.904], [0.338, 0.096, 0.442], [0.338, 0.558, 0.654]]
}



(7)
{
  "formula": "HfBeGe2S",
  "functional": "PBE-GGA",
  "state": "optimized geometry",
  "volume_a3_per_cell": 94.2,
  "m_tot_mub_per_fu": 0.0,
  "dft_energy_ev_per_cell": -25.02,
  "e_form_raw_ev_per_atom": 0.405,
  "lattice_angstrom": [[-0.615, 5.012, -0.474], [-2.992, -0.559, -2.035], [-2.858, 0.045, 4.189]],
  "species": ["Be", "Ge", "Ge", "Hf", "S"],
  "frac_coords": [[0.000, 0.500, 0.000], [0.000, 0.000, 0.500], [0.500, 0.000, 0.000], [0.500, 0.500, 0.500], [0.000, 0.000, 0.000]]
}



(8)
{
  "formula": "Ta2MnTe",
  "functional": "PBE-GGA",
  "state": "optimized geometry",
  "volume_a3_per_cell": 71.6,
  "m_tot_mub_per_fu": 1.9,
  "dft_energy_ev_per_cell": -34.98,
  "e_form_raw_ev_per_atom": 0.258,
  "lattice_angstrom": [[3.461, 0.000, 0.000], [0.000, 3.455, 0.000], [0.000, 0.000, 5.986]],
  "species": ["Mn", "Ta", "Ta", "Te"],
  "frac_coords": [[0.500, 0.500, 0.750], [0.000, 0.000, 0.975], [0.000, 0.000, 0.525], [0.500, 0.500, 0.250]]
}